KTcRu | PBE-GGA | relaxed

a = 6.2767 Å, b = 6.2767 Å, c = 6.2767 Å
α = 90.00°, β = 90.00°, γ = 90.00°
Last column: nearest neighbours and their distance in Å.
Space group F-43m (No. 216)
Asymmetric unit:
K: 0.0000 0.0000 0.0000  4 Ru 2.72
Tc: 0.0000 0.0000 0.5000  4 Ru 2.72
Ru: 0.2500 0.2500 0.2500  4 K 2.72, 4 Tc 2.72

Total magnetization   0.000 μB/f.u.
Excess energy over the best structure of this formula in the dataset   20.36 kcal/mol of atoms
Crystal system   cubic
Total DFT energy (no corrections)   -5.227 eV/atom
Formation energy   1.686 eV per atom

---

KVTcRu2 | PBE-GGA | relaxed

a = 4.4983 Å, b = 4.4983 Å, c = 4.9290 Å
α = 90.00°, β = 90.00°, γ = 90.00°
Last column: nearest neighbours and their distance in Å.
Space group P4/mmm (No. 123)
Asymmetric unit:
K: 0.0000 0.0000 0.0000  2 V 2.46
V: 0.0000 0.0000 0.5000  4 Ru 2.25, 2 K 2.46
Tc: 0.5000 0.5000 0.0000  4 K 3.18, 8 Ru 3.34
Ru: 0.0000 0.5000 0.5000  2 V 2.25

Total magnetization   3.405 μB/f.u.
Crystal system   tetragonal
Total DFT energy (no corrections)   -5.981 eV/atom
Formation energy   1.846 eV per atom

---

KZrTc2Ru | PBE-GGA | relaxed

a = 4.7545 Å, b = 4.7545 Å, c = 5.2298 Å
α = 90.00°, β = 90.00°, γ = 90.00°
Last column: nearest neighbours and their distance in Å.
Space group P4/mmm (No. 123)
Asymmetric unit:
K: 0.0000 0.0000 0.0000  2 Zr 2.61
Zr: 0.0000 0.0000 0.5000  4 Tc 2.38, 2 K 2.61
Tc: 0.0000 0.5000 0.5000  2 Zr 2.38
Ru: 0.5000 0.5000 0.0000  4 K 3.36, 8 Tc 3.53

Total magnetization   2.955 μB/f.u.
Excess energy over the best structure of this formula in the dataset   24.89 kcal/mol of atoms
Crystal system   tetragonal
Total DFT energy (no corrections)   -5.642 eV/atom
Formation energy   2.289 eV per atom

---

KZrTc2Ru | PBE-GGA | relaxed

a = 4.8344 Å, b = 4.8344 Å, c = 5.0250 Å
α = 90.00°, β = 90.00°, γ = 90.00°
Last column: nearest neighbours and their distance in Å.
Space group P4/mmm (No. 123)
Asymmetric unit:
K: 0.0000 0.0000 0.0000  4 Zr 3.42, 8 Tc 3.49
Zr: 0.5000 0.5000 0.0000  2 Ru 2.51
Tc: 0.0000 0.5000 0.5000  2 Ru 2.42
Ru: 0.5000 0.5000 0.5000  4 Tc 2.42, 2 Zr 2.51

Total magnetization   1.606 μB/f.u.
Excess energy over the best structure of this formula in the dataset   0.00 kcal/mol of atoms
Crystal system   tetragonal
Total DFT energy (no corrections)   -6.721 eV/atom
Formation energy   1.210 eV per atom

---

KTeRu3 | PBE-GGA | relaxed

a = 4.7939 Å, b = 4.7939 Å, c = 4.7939 Å
α = 90.00°, β = 90.00°, γ = 90.00°
Last column: nearest neighbours and their distance in Å.
Space group Pm-3m (No. 221)
Asymmetric unit:
K: 0.0000 0.0000 0.0000  6 Ru 2.40
Te: 0.5000 0.5000 0.5000  12 Ru 3.39
Ru: 0.0000 0.0000 0.5000  2 K 2.40

Total magnetization   6.039 μB/f.u.
Excess energy over the best structure of this formula in the dataset   32.15 kcal/mol of atoms
Crystal system   cubic
Total DFT energy (no corrections)   -3.714 eV/atom
Uncorrected formation energy   2.700 eV/atom

---

KTeRu2 | PBE-GGA | relaxed

a = 2.9953 Å, b = 5.5012 Å, c = 10.5332 Å
α = 90.00°, β = 90.00°, γ = 90.00°
Last column: nearest neighbours and their distance in Å.
Space group Imm2 (No. 44)
Asymmetric unit:
K: 0.0000 0.0000 0.0000  2 K 3.00, 4 Ru 3.13
Te: 0.0000 0.5000 0.2086  2 Ru 2.72, 2 Te 3.00
Ru: 0.0000 0.0000 0.4928  2 Ru 2.52, 2 Te 2.72
Ru: 0.0000 0.5000 0.7999  2 Ru 2.52

Total magnetization   1.169 μB/f.u.
Crystal system   orthorhombic
Total DFT energy (no corrections)   -4.950 eV/atom
Uncorrected formation energy   0.748 eV/atom

---

KTeRu2 | PBE-GGA | relaxed

a = 7.8925 Å, b = 4.5563 Å, c = 6.6454 Å
α = 90.00°, β = 113.49°, γ = 90.00°
Last column: nearest neighbours and their distance in Å.
Space group C2/m (No. 12)
Asymmetric unit:
K: 0.0000 0.0000 0.0000  2 Ru 3.36
Te: 0.0000 0.5000 0.5000  6 Ru 2.65
Ru: 0.1837 0.0000 0.5506  3 Te 2.65, 3 Ru 2.70

Total magnetization   2.097 μB/f.u.
Crystal system   monoclinic
Total DFT energy (no corrections)   -5.314 eV/atom
Uncorrected formation energy   0.384 eV/atom

---

KTeRu2 | PBE-GGA | relaxed

a = 4.3171 Å, b = 4.3171 Å, c = 19.4179 Å
α = 90.00°, β = 90.00°, γ = 120.00°
Last column: nearest neighbours and their distance in Å.
Space group R3m (No. 160, hexagonal axes)
Asymmetric unit:
K: 0.0000 0.0000 0.0000  7 Ru 3.59-3.89, 4 Te 3.62-3.85
Te: 0.0000 0.0000 0.1983  6 Ru 2.79
Ru: 0.0000 0.0000 0.4673  3 Ru 2.49, 3 Te 2.79
Ru: 0.0000 0.0000 0.7999  3 Ru 2.49

Total magnetization   0.000 μB/f.u.
Crystal system   trigonal
Total DFT energy (no corrections)   -5.466 eV/atom
Uncorrected formation energy   0.232 eV/atom

---

| no. | ρ (kg/m³) |
| --- | --- |
| 1 | 6397 |
| 2 | 6496 |
| 3 | 6003 |
| 4 | 6043 |
| 5 | 7083 |
| 6 | 7057 |
| 7 | 5589 |
| 8 | 5862 |